Record 1
12
Lattice="8.891 0.000 0.000 -4.446 7.700 0.000 0.000 0.000 3.293" Properties=species:S:1:pos:R:3 comment="NdZn9Cd2 (PBE, relaxed)" relative_energy_kj_per_mol_atoms=13.4 ef_ev_per_fu=0.2 pbc="T T T"
Nd 0.000 0.000 0.000
Zn -2.223 3.850 0.000
Zn 0.000 2.746 1.647
Zn -2.067 6.327 1.647
Zn 2.378 1.373 1.647
Zn 4.446 0.000 0.000
Zn 2.223 3.850 0.000
Zn 2.067 6.327 1.647
Zn 6.513 1.373 1.647
Zn 4.446 4.954 1.647
Cd 0.000 5.133 0.000
Cd 4.446 2.567 0.000

***

Record 2
4
Lattice="-1.966 3.318 4.630 1.966 -3.318 4.630 1.966 3.318 -4.630" Properties=species:S:1:pos:R:3 comment="Ca2HgCl (PBE, relaxed)" relative_energy_kj_per_mol_atoms=18.5 formation_energy_uncorrected_mev_per_atom=-888 pbc="T T T"
Ca 0.000 0.000 2.020
Ca 0.000 0.000 7.241
Hg 0.000 3.318 0.000
Cl 1.966 0.000 0.000

***

Record 3
4
Lattice="0.000 3.770 3.770 3.770 0.000 3.770 3.770 3.770 0.000" Properties=species:S:1:pos:R:3 comment="AcTmHgPd (PBE, relaxed)" ef_ev_per_fu=-2.1 pbc="T T T"
Ac 0.000 0.000 0.000
Tm 3.770 3.770 3.770
Hg 5.656 5.656 5.656
Pd 1.885 1.885 1.885

***

Record 4
11
Lattice="-3.572 3.572 3.572 3.572 -3.572 3.572 3.572 3.572 -3.572" Properties=species:S:1:pos:R:3 comment="Ce3Fe4Si4 (PBE, relaxed)" formation_energy_uncorrected_mev_per_atom=-617 pbc="T T T"
Ce 3.572 0.000 0.000
Ce 0.000 3.572 0.000
Ce 0.000 0.000 3.572
Fe 0.915 0.915 -0.915
Fe 0.915 -0.915 0.915
Fe -0.915 0.915 0.915
Fe 2.657 2.657 2.657
Si 2.213 2.213 -2.213
Si 2.213 -2.213 2.213
Si 1.359 1.359 1.359
Si -2.213 2.213 2.213

***

Record 5
4
Lattice="4.679 0.000 0.000 0.000 4.679 0.000 0.000 0.000 4.198" Properties=species:S:1:pos:R:3 comment="NdInGe2 (PBE, relaxed)" ef_ev_per_fu=-1.7 pbc="T T T"
Nd 0.000 0.000 0.000
In 2.339 2.339 0.000
Ge 0.000 2.339 2.099
Ge 2.339 0.000 2.099

***

Record 6
4
Lattice="3.190 0.000 0.000 0.000 3.190 0.000 0.000 0.000 6.428" Properties=species:S:1:pos:R:3 comment="TaTc (PBE, relaxed)" ef_ev_per_fu=-0.4 pbc="T T T"
Ta 0.797 0.797 0.876
Ta 2.392 2.392 5.551
Tc 0.797 0.797 4.034
Tc 2.392 2.392 2.394

***

Summary of magnetization in μB/cell
0.08, 0.00, 0.00, 0.35, 0.00, 0.00
(order as listed above)
Summary of energy in eV/f.u.
-17.9, -9.7, -16.2, -80.1, -18.5, -22.6
(order as listed above)